Entry 1:
Material: BaNb3Tc
Method: DFT, GGA-PBE
State: optimized geometry

```
BaNb3Tc
1.0
5.005 0.000 0.000
0.000 5.005 0.000
0.000 0.000 5.005
Ba Nb Tc
1 3 1
Cartesian
0.000 0.000 0.000
0.000 2.503 2.503
2.503 0.000 2.503
2.503 2.503 0.000
2.503 2.503 2.503
```

Values from the calculation:
* polymorph energy (0 for the lowest one): 0 meV/atom
* total energy: -7.5701 eV per atom
* total magnetization: 0.0000 μB/atom

Entry 2:
Material: BaNbTc3
Method: DFT, GGA-PBE
State: optimized geometry

```
BaNbTc3
1.0
4.934 0.000 0.000
0.000 4.934 0.000
0.000 0.000 4.934
Ba Nb Tc
1 1 3
Cartesian
0.000 0.000 0.000
2.467 2.467 2.467
0.000 2.467 2.467
2.467 0.000 2.467
2.467 2.467 0.000
```

Values from the calculation:
* polymorph energy (0 for the lowest one): 0 meV/atom
* total energy: -7.3113 eV per atom
* total magnetization: 0.6355 μB/atom

Entry 3:
Material: BaNb2Tc
Method: DFT, GGA-PBE
State: optimized geometry

```
BaNb2Tc
1.0
-2.638 2.638 8.665
2.638 -2.638 8.665
2.638 2.638 -8.665
Ba Nb Tc
2 4 2
Cartesian
2.638 1.319 2.166
0.000 1.319 6.499
0.000 0.000 0.000
1.319 1.319 -4.332
1.319 -1.319 4.332
0.000 2.638 0.000
2.638 -1.319 6.499
0.000 3.957 2.166
```

Values from the calculation:
* polymorph energy (0 for the lowest one): 201 meV/atom
* total energy: -6.9487 eV per atom
* total magnetization: 0.0000 μB/atom

Entry 4:
Material: BaNbTc3
Method: DFT, GGA-PBE
State: optimized geometry

```
BaNbTc3
1.0
4.846 0.000 0.000
0.000 4.846 0.000
0.000 0.000 4.846
Ba Nb Tc
1 1 3
Cartesian
0.000 0.000 0.000
2.423 2.423 2.423
0.000 0.000 2.423
0.000 2.423 0.000
2.423 0.000 0.000
```

Values from the calculation:
* polymorph energy (0 for the lowest one): 1664 meV/atom
* total energy: -5.6473 eV per atom
* total magnetization: 0.0001 μB/atom

Entry 5:
Material: BaNb2Tc
Method: DFT, GGA-PBE
State: optimized geometry

```
BaNb2Tc
1.0
0.000 3.430 3.430
3.430 0.000 3.430
3.430 3.430 0.000
Ba Nb Tc
1 2 1
Cartesian
0.000 0.000 0.000
1.715 1.715 1.715
5.145 5.145 5.145
3.430 3.430 3.430
```

Values from the calculation:
* polymorph energy (0 for the lowest one): 0 meV/atom
* total energy: -7.1501 eV per atom
* total magnetization: 0.0000 μB/atom

Entry 6:
Material: Ba3NbTe
Method: DFT, GGA-PBE
State: optimized geometry

```
Ba3NbTe
1.0
5.926 0.000 0.000
0.000 5.926 0.000
0.000 0.000 5.926
Ba Nb Te
3 1 1
Cartesian
0.000 0.000 2.963
0.000 2.963 0.000
2.963 0.000 0.000
0.000 0.000 0.000
2.963 2.963 2.963
```

Values from the calculation:
* total energy: -3.5963 eV per atom
* total magnetization: 0.0000 μB/atom
* formation energy (no corrections): 19 kJ per mole of atoms

Entry 7:
Material: BaNbTe
Method: DFT, GGA-PBE
State: optimized geometry

```
BaNbTe
1.0
4.267 0.000 0.000
0.000 4.267 0.000
0.000 0.000 10.971
Ba Nb Te
2 2 2
Cartesian
1.067 1.067 1.974
3.201 3.201 8.997
1.067 3.201 5.486
3.201 1.067 5.486
1.067 1.067 7.379
3.201 3.201 3.592
```

Values from the calculation:
* total energy: -5.5592 eV per atom
* total magnetization: 0.0000 μB/atom
* formation energy (no corrections): -50 kJ per mole of atoms

Entry 8:
Material: Ba2NbTe
Method: DFT, GGA-PBE
State: optimized geometry

```
Ba2NbTe
1.0
-4.626 4.626 3.716
4.626 -4.626 3.716
4.626 4.626 -3.716
Ba Nb Te
4 2 2
Cartesian
6.940 2.296 -0.929
2.296 2.313 0.929
-2.313 2.330 2.787
2.330 2.313 4.645
4.626 0.000 1.858
0.000 0.000 3.716
0.000 0.000 0.000
0.000 4.626 1.858
```

Values from the calculation:
* total energy: -3.9417 eV per atom
* total magnetization: 0.9613 μB/atom
* formation energy (no corrections): 31 kJ per mole of atoms

Record-wise density values, in g/cm³: 6.8 7.2 5.8 7.7 8.7 5.0 5.9 5.2